a.
# TiV3Pt PBE optimized geometry
# space-group type	Pm-3m
# total magnetization	2.704	μB per formula unit
# volume	19.921	A^3/atom
data_TiV3Pt
_chemical_formula_sum 'Ti1 V3 Pt1'
_cell_length_a 4.635
_cell_length_b 4.635
_cell_length_c 4.635
_cell_angle_alpha 90.00
_cell_angle_beta 90.00
_cell_angle_gamma 90.00
_symmetry_space_group_name_H-M 'P 1'
_symmetry_Int_Tables_number 1
_symmetry_space_group_name_Hall 'P 1'
loop_
_atom_site_label
_atom_site_fract_x
_atom_site_fract_y
_atom_site_fract_z
_atom_site_occupancy
Ti1 0.000 0.000 0.000 1
V1 0.000 0.500 0.500 1
V2 0.500 0.000 0.500 1
V3 0.500 0.500 0.000 1
Pt1 0.500 0.500 0.500 1

b.
# TiV3Pt PBE optimized geometry
# space-group type	Pm-3m
# total magnetization	0.012	μB per formula unit
# volume	16.069	A^3/atom
data_TiV3Pt
_chemical_formula_sum 'Ti1 V3 Pt1'
_cell_length_a 4.315
_cell_length_b 4.315
_cell_length_c 4.315
_cell_angle_alpha 90.00
_cell_angle_beta 90.00
_cell_angle_gamma 90.00
_symmetry_space_group_name_H-M 'P 1'
_symmetry_Int_Tables_number 1
_symmetry_space_group_name_Hall 'P 1'
loop_
_atom_site_label
_atom_site_fract_x
_atom_site_fract_y
_atom_site_fract_z
_atom_site_occupancy
Ti1 0.000 0.000 0.000 1
V1 0.000 0.000 0.500 1
V2 0.000 0.500 0.000 1
V3 0.500 0.000 0.000 1
Pt1 0.500 0.500 0.500 1

Result of the stability comparison: b is the least stable of them.

a.
# Ti3PtW PBE optimized geometry
# space-group type	Pm-3m
# total magnetization	0.000	μB per formula unit
# volume	20.678	A^3/atom
data_Ti3PtW
_chemical_formula_sum 'Ti3 Pt1 W1'
_cell_length_a 4.693
_cell_length_b 4.693
_cell_length_c 4.693
_cell_angle_alpha 90.00
_cell_angle_beta 90.00
_cell_angle_gamma 90.00
_symmetry_space_group_name_H-M 'P 1'
_symmetry_Int_Tables_number 1
_symmetry_space_group_name_Hall 'P 1'
loop_
_atom_site_label
_atom_site_fract_x
_atom_site_fract_y
_atom_site_fract_z
_atom_site_occupancy
Ti1 0.000 0.000 0.500 1
Ti2 0.000 0.500 0.000 1
Ti3 0.500 0.000 0.000 1
Pt1 0.500 0.500 0.500 1
W1 0.000 0.000 0.000 1

b.
# Ti3PtW PBE optimized geometry
# space-group type	Pm-3m
# total magnetization	0.002	μB per formula unit
# volume	20.719	A^3/atom
data_Ti3PtW
_chemical_formula_sum 'Ti3 Pt1 W1'
_cell_length_a 4.697
_cell_length_b 4.697
_cell_length_c 4.697
_cell_angle_alpha 90.00
_cell_angle_beta 90.00
_cell_angle_gamma 90.00
_symmetry_space_group_name_H-M 'P 1'
_symmetry_Int_Tables_number 1
_symmetry_space_group_name_Hall 'P 1'
loop_
_atom_site_label
_atom_site_fract_x
_atom_site_fract_y
_atom_site_fract_z
_atom_site_occupancy
Ti1 0.000 0.000 0.500 1
Ti2 0.000 0.500 0.000 1
Ti3 0.500 0.000 0.000 1
Pt1 0.000 0.000 0.000 1
W1 0.500 0.500 0.500 1

Result of the stability comparison: b is the least stable of them.

a.
# YTi3Pt PBE optimized geometry
# space-group type	Pm-3m
# total magnetization	0.872	μB per formula unit
# volume	20.365	A^3/atom
data_YTi3Pt
_chemical_formula_sum 'Y1 Ti3 Pt1'
_cell_length_a 4.670
_cell_length_b 4.670
_cell_length_c 4.670
_cell_angle_alpha 90.00
_cell_angle_beta 90.00
_cell_angle_gamma 90.00
_symmetry_space_group_name_H-M 'P 1'
_symmetry_Int_Tables_number 1
_symmetry_space_group_name_Hall 'P 1'
loop_
_atom_site_label
_atom_site_fract_x
_atom_site_fract_y
_atom_site_fract_z
_atom_site_occupancy
Y1 0.000 0.000 0.000 1
Ti1 0.000 0.000 0.500 1
Ti2 0.000 0.500 0.000 1
Ti3 0.500 0.000 0.000 1
Pt1 0.500 0.500 0.500 1

b.
# YTi3Pt PBE optimized geometry
# space-group type	Pm-3m
# total magnetization	0.001	μB per formula unit
# volume	23.174	A^3/atom
data_YTi3Pt
_chemical_formula_sum 'Y1 Ti3 Pt1'
_cell_length_a 4.875
_cell_length_b 4.875
_cell_length_c 4.875
_cell_angle_alpha 90.00
_cell_angle_beta 90.00
_cell_angle_gamma 90.00
_symmetry_space_group_name_H-M 'P 1'
_symmetry_Int_Tables_number 1
_symmetry_space_group_name_Hall 'P 1'
loop_
_atom_site_label
_atom_site_fract_x
_atom_site_fract_y
_atom_site_fract_z
_atom_site_occupancy
Y1 0.000 0.000 0.000 1
Ti1 0.000 0.500 0.500 1
Ti2 0.500 0.000 0.500 1
Ti3 0.500 0.500 0.000 1
Pt1 0.500 0.500 0.500 1

Result of the stability comparison: a is the least stable of them.

a.
# Ti2Zn4Pt PBE optimized geometry
# space-group type	I4/mmm
# total magnetization	0.000	μB per formula unit
# volume	15.828	A^3/atom
data_Ti2Zn4Pt
_chemical_formula_sum 'Ti4 Zn8 Pt2'
_cell_length_a 6.369
_cell_length_b 6.369
_cell_length_c 5.464
_cell_angle_alpha 90.00
_cell_angle_beta 90.00
_cell_angle_gamma 90.00
_symmetry_space_group_name_H-M 'P 1'
_symmetry_Int_Tables_number 1
_symmetry_space_group_name_Hall 'P 1'
loop_
_atom_site_label
_atom_site_fract_x
_atom_site_fract_y
_atom_site_fract_z
_atom_site_occupancy
Ti1 0.000 0.500 0.250 1
Ti2 0.000 0.500 0.750 1
Ti3 0.500 0.000 0.250 1
Ti4 0.500 0.000 0.750 1
Zn1 0.198 0.198 0.000 1
Zn2 0.198 0.802 0.000 1
Zn3 0.302 0.302 0.500 1
Zn4 0.302 0.698 0.500 1
Zn5 0.698 0.302 0.500 1
Zn6 0.698 0.698 0.500 1
Zn7 0.802 0.198 0.000 1
Zn8 0.802 0.802 0.000 1
Pt1 0.000 0.000 0.500 1
Pt2 0.500 0.500 0.000 1

b.
# Ti2Zn4Pt PBE optimized geometry
# space-group type	I4/mcm
# total magnetization	0.000	μB per formula unit
# volume	16.854	A^3/atom
data_Ti2Zn4Pt
_chemical_formula_sum 'Ti4 Zn8 Pt2'
_cell_length_a 8.693
_cell_length_b 8.693
_cell_length_c 8.693
_cell_angle_alpha 143.05
_cell_angle_beta 143.05
_cell_angle_gamma 53.26
_symmetry_space_group_name_H-M 'P 1'
_symmetry_Int_Tables_number 1
_symmetry_space_group_name_Hall 'P 1'
loop_
_atom_site_label
_atom_site_fract_x
_atom_site_fract_y
_atom_site_fract_z
_atom_site_occupancy
Ti1 0.163 0.663 0.826 1
Ti2 0.337 0.163 0.500 1
Ti3 0.663 0.837 0.500 1
Ti4 0.837 0.337 0.174 1
Zn1 0.016 0.185 0.500 1
Zn2 0.185 0.685 0.170 1
Zn3 0.315 0.484 0.500 1
Zn4 0.484 0.984 0.170 1
Zn5 0.516 0.016 0.830 1
Zn6 0.685 0.516 0.500 1
Zn7 0.815 0.315 0.830 1
Zn8 0.984 0.815 0.500 1
Pt1 0.250 0.250 0.000 1
Pt2 0.750 0.750 0.000 1

Result of the stability comparison: b is the least stable of them.

a.
# Ti2Zn3Pt PBE optimized geometry
# space-group type	Imm2
# total magnetization	1.029	μB per formula unit
# volume	16.214	A^3/atom
data_Ti2Zn3Pt
_chemical_formula_sum 'Ti4 Zn6 Pt2'
_cell_length_a 2.816
_cell_length_b 2.836
_cell_length_c 24.361
_cell_angle_alpha 90.00
_cell_angle_beta 90.00
_cell_angle_gamma 90.00
_symmetry_space_group_name_H-M 'P 1'
_symmetry_Int_Tables_number 1
_symmetry_space_group_name_Hall 'P 1'
loop_
_atom_site_label
_atom_site_fract_x
_atom_site_fract_y
_atom_site_fract_z
_atom_site_occupancy
Ti1 0.000 0.000 0.000 1
Ti2 0.000 0.500 0.247 1
Ti3 0.500 0.000 0.747 1
Ti4 0.500 0.500 0.500 1
Zn1 0.000 0.000 0.418 1
Zn2 0.000 0.500 0.665 1
Zn3 0.000 0.500 0.827 1
Zn4 0.500 0.000 0.165 1
Zn5 0.500 0.000 0.327 1
Zn6 0.500 0.500 0.918 1
Pt1 0.000 0.000 0.574 1
Pt2 0.500 0.500 0.074 1

b.
# Ti2Zn3Pt PBE optimized geometry
# space-group type	C2/m
# total magnetization	0.000	μB per formula unit
# volume	15.431	A^3/atom
data_Ti2Zn3Pt
_chemical_formula_sum 'Ti4 Zn6 Pt2'
_cell_length_a 6.526
_cell_length_b 6.526
_cell_length_c 9.055
_cell_angle_alpha 116.74
_cell_angle_beta 116.74
_cell_angle_gamma 32.94
_symmetry_space_group_name_H-M 'P 1'
_symmetry_Int_Tables_number 1
_symmetry_space_group_name_Hall 'P 1'
loop_
_atom_site_label
_atom_site_fract_x
_atom_site_fract_y
_atom_site_fract_z
_atom_site_occupancy
Ti1 0.038 0.038 0.368 1
Ti2 0.290 0.290 0.632 1
Ti3 0.710 0.710 0.368 1
Ti4 0.962 0.962 0.632 1
Zn1 0.126 0.126 0.118 1
Zn2 0.207 0.207 0.873 1
Zn3 0.452 0.452 0.117 1
Zn4 0.548 0.548 0.883 1
Zn5 0.793 0.793 0.127 1
Zn6 0.874 0.874 0.882 1
Pt1 0.376 0.376 0.381 1
Pt2 0.624 0.624 0.619 1

Result of the stability comparison: a is the least stable of them.

a.
# TiZnPt3 PBE optimized geometry
# space-group type	Ama2
# total magnetization	0.000	μB per formula unit
# volume	16.278	A^3/atom
data_TiZnPt3
_chemical_formula_sum 'Ti2 Zn2 Pt6'
_cell_length_a 8.497
_cell_length_b 4.581
_cell_length_c 4.581
_cell_angle_alpha 114.08
_cell_angle_beta 90.00
_cell_angle_gamma 90.00
_symmetry_space_group_name_H-M 'P 1'
_symmetry_Int_Tables_number 1
_symmetry_space_group_name_Hall 'P 1'
loop_
_atom_site_label
_atom_site_fract_x
_atom_site_fract_y
_atom_site_fract_z
_atom_site_occupancy
Ti1 0.000 0.000 0.000 1
Ti2 0.500 0.000 0.000 1
Zn1 0.250 0.494 0.107 1
Zn2 0.750 0.107 0.494 1
Pt1 0.064 0.292 0.611 1
Pt2 0.250 0.833 0.693 1
Pt3 0.436 0.292 0.611 1
Pt4 0.564 0.611 0.292 1
Pt5 0.750 0.693 0.833 1
Pt6 0.936 0.611 0.292 1

b.
# TiZnPt3 PBE optimized geometry
# space-group type	Pm-3m
# total magnetization	0.000	μB per formula unit
# volume	19.108	A^3/atom
data_TiZnPt3
_chemical_formula_sum 'Ti1 Zn1 Pt3'
_cell_length_a 4.572
_cell_length_b 4.572
_cell_length_c 4.572
_cell_angle_alpha 90.00
_cell_angle_beta 90.00
_cell_angle_gamma 90.00
_symmetry_space_group_name_H-M 'P 1'
_symmetry_Int_Tables_number 1
_symmetry_space_group_name_Hall 'P 1'
loop_
_atom_site_label
_atom_site_fract_x
_atom_site_fract_y
_atom_site_fract_z
_atom_site_occupancy
Ti1 0.000 0.000 0.000 1
Zn1 0.500 0.500 0.500 1
Pt1 0.000 0.500 0.500 1
Pt2 0.500 0.000 0.500 1
Pt3 0.500 0.500 0.000 1

Result of the stability comparison: b is the least stable of them.